Record 1
A relaxed structure of AlIrPb3. Source: Alexandria, functional GGA-PBEsol.

## Properties
Its calculated formation energy is 518 meV/atom. As for the space group: No. 221. The calculation puts the electronic total energy at -4.664 eV per atom.

a b c (Å): 5.244 5.244 5.244
angles (deg): 90.00 90.00 90.00
Fractional coordinates of all 5 atoms:
Ir 0.000 0.000 0.000
Pb 0.500 0.000 0.000
Pb 0.000 0.000 0.500
Pb 0.000 0.500 0.000
Al 0.500 0.500 0.500

=====

Record 2
A relaxed structure of AlIrPb. Source: Alexandria, functional GGA-PBEsol.

## Properties
Its calculated formation energy is 733 meV/atom. As for the space group: No. 216. The calculation puts the electronic total energy at -5.238 eV per atom.

a b c (Å): 4.449 4.449 4.449
angles (deg): 60.00 60.00 60.00
Fractional coordinates of all 3 atoms:
Ir 0.500 0.500 0.500
Pb 0.250 0.250 0.250
Al 0.000 0.000 0.000

=====

Record 3
A relaxed structure of Al2IrPd. Source: Alexandria, functional GGA-PBEsol.

## Properties
Its calculated formation energy is -188 meV/atom. As for the space group: No. 122. The calculation puts the electronic total energy at -6.180 eV per atom.

a b c (Å): 3.961 3.961 8.646
angles (deg): 103.24 103.24 90.00
Fractional coordinates of all 8 atoms:
Ir 0.000 0.000 0.000
Ir 0.250 0.750 0.500
Pd 0.750 0.250 0.500
Pd 0.500 0.500 0.000
Al 0.625 0.632 0.750
Al 0.125 0.118 0.750
Al 0.882 0.375 0.250
Al 0.368 0.875 0.250

=====

Record 4
A relaxed structure of AlIrPd2Rh. Source: Alexandria, functional GGA-PBEsol.

## Properties
Its calculated formation energy is 1221 meV/atom. As for the space group: No. 123. The calculation puts the electronic total energy at -5.573 eV per atom.

a b c (Å): 4.556 4.795 4.795
angles (deg): 90.00 90.00 90.00
Fractional coordinates of all 5 atoms:
Rh 0.500 0.000 0.000
Pd 0.000 0.000 0.500
Pd 0.000 0.500 0.000
Al 0.500 0.500 0.500
Ir 0.000 0.000 0.000

=====

Record 5
A relaxed structure of Al2IrPt. Source: Alexandria, functional GGA-PBEsol.

## Properties
Its calculated formation energy is -900 meV/atom. As for the space group: No. 123. The calculation puts the electronic total energy at -7.143 eV per atom.

a b c (Å): 2.926 4.353 4.353
angles (deg): 90.00 90.00 90.00
Fractional coordinates of all 4 atoms:
Al 0.500 0.000 0.500
Al 0.500 0.500 0.000
Pt 0.000 0.000 0.000
Ir 0.000 0.500 0.500

=====

Record 6
A relaxed structure of Al2IrPt. Source: Alexandria, functional GGA-PBEsol.

## Properties
Its calculated formation energy is -939 meV/atom. As for the space group: No. 65. The calculation puts the electronic total energy at -7.182 eV per atom.

a b c (Å): 2.886 4.409 4.409
angles (deg): 99.48 90.00 90.00
Fractional coordinates of all 4 atoms:
Ir 0.500 0.000 0.000
Al 0.000 0.000 0.500
Al 0.000 0.500 0.000
Pt 0.500 0.500 0.500

=====

Record 7
A relaxed structure of AlIrPt3. Source: Alexandria, functional GGA-PBEsol.

## Properties
The value obtained for the energy above the most stable polymorph in this dataset is 0 meV/atom. Its calculated formation energy is 1012 meV/atom. As for the space group: No. 221. The calculation puts the electronic total energy at -5.949 eV per atom.

a b c (Å): 4.406 4.406 4.406
angles (deg): 90.00 90.00 90.00
Fractional coordinates of all 5 atoms:
Pt 0.000 0.500 0.000
Pt 0.000 0.000 0.500
Pt 0.500 0.000 0.000
Al 0.000 0.000 0.000
Ir 0.500 0.500 0.500

=====

Record 8
A relaxed structure of AlIr2Pt. Source: Alexandria, functional GGA-PBEsol.

## Properties
Its calculated formation energy is -402 meV/atom. As for the space group: No. 65. The calculation puts the electronic total energy at -8.077 eV per atom.

a b c (Å): 2.786 4.591 4.591
angles (deg): 106.00 90.00 90.00
Fractional coordinates of all 4 atoms:
Ir 0.000 0.500 0.000
Ir 0.000 0.000 0.500
Al 0.500 0.500 0.500
Pt 0.500 0.000 0.000

=====

Record 9
A relaxed structure of AlIrPt2. Source: Alexandria, functional GGA-PBEsol.

## Properties
Its calculated formation energy is -507 meV/atom. As for the space group: No. 65. The calculation puts the electronic total energy at -7.467 eV per atom.

a b c (Å): 2.783 4.676 4.676
angles (deg): 109.36 90.00 90.00
Fractional coordinates of all 4 atoms:
Pt 0.000 0.000 0.500
Pt 0.000 0.500 0.000
Ir 0.500 0.500 0.500
Al 0.500 0.000 0.000

=====

Record 10
A relaxed structure of AlIrPt2. Source: Alexandria, functional GGA-PBEsol.

## Properties
Its calculated formation energy is -400 meV/atom. As for the space group: No. 160. The calculation puts the electronic total energy at -7.361 eV per atom.

a b c (Å): 2.779 2.779 8.757
angles (deg): 80.87 80.87 60.00
Fractional coordinates of all 4 atoms:
Pt 0.757 0.757 0.729
Pt 0.999 0.999 0.003
Ir 0.243 0.243 0.271
Al 0.501 0.501 0.497

=====

Record 11
A relaxed structure of AlIrPt2. Source: Alexandria, functional GGA-PBEsol.

## Properties
Its calculated formation energy is -465 meV/atom. As for the space group: No. 8. The calculation puts the electronic total energy at -7.425 eV per atom.

a b c (Å): 2.775 4.691 4.772
angles (deg): 103.63 106.90 90.00
Fractional coordinates of all 4 atoms:
Pt 0.996 0.990 0.993
Pt 0.764 0.265 0.529
Al 0.504 0.495 0.007
Ir 0.236 0.750 0.471

=====

Record 12
A relaxed structure of AlIrPt2. Source: Alexandria, functional GGA-PBEsol.

## Properties
Its calculated formation energy is -406 meV/atom. As for the space group: No. 25. The calculation puts the electronic total energy at -7.366 eV per atom.

a b c (Å): 2.759 3.725 5.609
angles (deg): 90.00 90.00 90.00
Fractional coordinates of all 4 atoms:
Ir 0.500 0.500 0.743
Pt 0.000 0.000 0.993
Pt 0.500 0.500 0.261
Al 0.000 0.000 0.503

=====

Record 13
A relaxed structure of AlIrPt2. Source: Alexandria, functional GGA-PBEsol.

## Properties
Its calculated formation energy is -553 meV/atom. As for the space group: No. 123. The calculation puts the electronic total energy at -7.513 eV per atom.

a b c (Å): 3.808 3.808 3.933
angles (deg): 90.00 90.00 90.00
Fractional coordinates of all 4 atoms:
Pt 0.500 0.000 0.000
Pt 0.000 0.500 0.000
Ir 0.000 0.000 0.500
Al 0.500 0.500 0.500

=====

Record 14
A relaxed structure of Al2IrPt. Source: Alexandria, functional GGA-PBEsol.

## Properties
Its calculated formation energy is -755 meV/atom. As for the space group: No. 119. The calculation puts the electronic total energy at -6.997 eV per atom.

a b c (Å): 3.649 3.649 4.957
angles (deg): 111.59 111.59 90.00
Fractional coordinates of all 4 atoms:
Al 0.750 0.250 0.500
Al 0.000 0.000 0.000
Ir 0.500 0.500 0.000
Pt 0.250 0.750 0.500

=====

Record 15
A relaxed structure of AlIrPt4. Source: Alexandria, functional GGA-PBEsol.

## Properties
Its calculated formation energy is 251 meV/atom. As for the space group: No. 216. The calculation puts the electronic total energy at -6.711 eV per atom.

a b c (Å): 5.132 5.132 5.132
angles (deg): 60.00 60.00 60.00
Fractional coordinates of all 6 atoms:
Pt 0.375 0.876 0.375
Pt 0.375 0.375 0.375
Pt 0.876 0.375 0.375
Pt 0.375 0.375 0.876
Al 0.750 0.750 0.750
Ir 0.000 0.000 0.000

=====

Record 16
A relaxed structure of AlIrPt2. Source: Alexandria, functional GGA-PBEsol.

## Properties
Its calculated formation energy is -400 meV/atom. As for the space group: No. 47. The calculation puts the electronic total energy at -7.361 eV per atom.

a b c (Å): 2.746 3.817 5.503
angles (deg): 90.00 90.00 90.00
Fractional coordinates of all 4 atoms:
Ir 0.500 0.500 0.500
Al 0.500 0.500 0.000
Pt 0.000 0.000 0.248
Pt 0.000 0.000 0.752

=====

Record 17
A relaxed structure of Al2IrPt. Source: Alexandria, functional GGA-PBEsol.

## Properties
Its calculated formation energy is -935 meV/atom. As for the space group: No. 139. The calculation puts the electronic total energy at -7.178 eV per atom.

a b c (Å): 4.021 4.445 4.021
angles (deg): 63.10 90.00 116.90
Fractional coordinates of all 4 atoms:
Pt 0.500 0.000 0.500
Al 0.750 0.500 0.750
Al 0.250 0.500 0.250
Ir 0.000 0.000 0.000

=====

Record 18
A relaxed structure of AlIrPt3. Source: Alexandria, functional GGA-PBEsol.

## Properties
The value obtained for the energy above the most stable polymorph in this dataset is 342 meV/atom. Its calculated formation energy is 1354 meV/atom. As for the space group: No. 221. The calculation puts the electronic total energy at -5.607 eV per atom.

a b c (Å): 4.772 4.772 4.772
angles (deg): 90.00 90.00 90.00
Fractional coordinates of all 5 atoms:
Pt 0.500 0.000 0.000
Pt 0.000 0.500 0.000
Pt 0.000 0.000 0.500
Ir 0.000 0.000 0.000
Al 0.500 0.500 0.500

=====

Record 19
A relaxed structure of AlIrPt2. Source: Alexandria, functional GGA-PBEsol.

## Properties
Its calculated formation energy is -74 meV/atom. As for the space group: No. 122. The calculation puts the electronic total energy at -7.035 eV per atom.

a b c (Å): 3.745 3.745 9.365
angles (deg): 101.53 101.53 90.00
Fractional coordinates of all 8 atoms:
Pt 0.625 0.628 0.750
Pt 0.372 0.875 0.250
Pt 0.125 0.122 0.750
Pt 0.878 0.375 0.250
Al 0.750 0.250 0.500
Al 0.500 0.500 0.000
Ir 0.000 0.000 0.000
Ir 0.250 0.750 0.500

=====

Record 20
A relaxed structure of Al2IrPt. Source: Alexandria, functional GGA-PBEsol.

## Properties
Its calculated formation energy is -937 meV/atom. As for the space group: No. 47. The calculation puts the electronic total energy at -7.180 eV per atom.

a b c (Å): 2.907 3.333 5.711
angles (deg): 90.00 90.00 90.00
Fractional coordinates of all 4 atoms:
Al 0.000 0.000 0.243
Al 0.000 0.000 0.757
Ir 0.500 0.500 0.000
Pt 0.500 0.500 0.500